[1]
# BaLiHf2Cu PBEsol optimized geometry
# - ΔE_f: 1.9882 eV per atom
data_BaLiHf2Cu
_cell_length_a 5.2441
_cell_length_b 5.2441
_cell_length_c 4.5499
_cell_angle_alpha 90.00
_cell_angle_beta 90.00
_cell_angle_gamma 90.00
_space_group_name_H-M_alt 'P 4/m m m'
_space_group_IT_number 123
_space_group_name_Hall '-P 4 2'
loop_
_atom_site_label
_atom_site_type_symbol
_atom_site_fract_x
_atom_site_fract_y
_atom_site_fract_z
_atom_site_occupancy
Ba1 Ba 0.0000 0.0000 0.0000 1
Li1 Li 0.0000 0.0000 0.5000 1
Hf1 Hf 0.0000 0.5000 0.0000 1
Cu1 Cu 0.5000 0.5000 0.5000 1

[2]
# BaCuHg PBEsol optimized geometry
# - ΔE_f: -0.0982 eV per atom
data_BaCuHg
_cell_length_a 3.6936
_cell_length_b 3.6936
_cell_length_c 11.1598
_cell_angle_alpha 90.00
_cell_angle_beta 90.00
_cell_angle_gamma 90.00
_space_group_name_H-M_alt 'I 4 m m'
_space_group_IT_number 107
_space_group_name_Hall 'I 4 -2'
loop_
_atom_site_label
_atom_site_type_symbol
_atom_site_fract_x
_atom_site_fract_y
_atom_site_fract_z
_atom_site_occupancy
Ba1 Ba 0.0000 0.0000 0.0000 1
Cu1 Cu 0.0000 0.0000 0.2959 1
Hg1 Hg 0.0000 0.0000 0.7059 1

[3]
# BaCuHg PBEsol optimized geometry
# - ΔE_f: -0.0555 eV per atom
data_BaCuHg
_cell_length_a 7.0576
_cell_length_b 7.0576
_cell_length_c 7.0576
_cell_angle_alpha 90.00
_cell_angle_beta 90.00
_cell_angle_gamma 90.00
_space_group_name_H-M_alt 'F -4 3 m'
_space_group_IT_number 216
_space_group_name_Hall 'F -4 2 3'
loop_
_atom_site_label
_atom_site_type_symbol
_atom_site_fract_x
_atom_site_fract_y
_atom_site_fract_z
_atom_site_occupancy
Ba1 Ba 0.0000 0.0000 0.0000 1
Cu1 Cu 0.2500 0.2500 0.2500 1
Hg1 Hg 0.0000 0.0000 0.5000 1

[4]
# Ba2CuHg2 PBEsol optimized geometry
# - ΔE_f: -0.0812 eV per atom
data_Ba2CuHg2
_cell_length_a 6.5485
_cell_length_b 6.5485
_cell_length_c 7.9091
_cell_angle_alpha 90.00
_cell_angle_beta 90.00
_cell_angle_gamma 90.00
_space_group_name_H-M_alt 'I 4/m m m'
_space_group_IT_number 139
_space_group_name_Hall '-I 4 2'
loop_
_atom_site_label
_atom_site_type_symbol
_atom_site_fract_x
_atom_site_fract_y
_atom_site_fract_z
_atom_site_occupancy
Ba1 Ba 0.0000 0.5000 0.2500 1
Cu1 Cu 0.0000 0.0000 0.0000 1
Hg1 Hg 0.0000 0.0000 0.3279 1

[5]
# Ba6Cu3Hg3O13 PBEsol optimized geometry
# - Formation energy without anion corrections: -38.71 eV/f.u.
data_Ba6Cu3Hg3O13
_cell_length_a 16.1887
_cell_length_b 5.3766
_cell_length_c 10.9641
_cell_angle_alpha 90.00
_cell_angle_beta 119.49
_cell_angle_gamma 90.00
_space_group_name_H-M_alt 'C 1 2/m 1'
_space_group_IT_number 12
_space_group_name_Hall '-C 2y'
loop_
_atom_site_label
_atom_site_type_symbol
_atom_site_fract_x
_atom_site_fract_y
_atom_site_fract_z
_atom_site_occupancy
Ba1 Ba 0.0697 0.0000 0.2090 1
Ba2 Ba 0.0934 0.5000 0.7802 1
Ba3 Ba 0.2355 0.5000 0.2068 1
Cu1 Cu 0.0000 0.5000 0.0000 1
Cu2 Cu 0.1666 0.0000 0.9979 1
Hg1 Hg 0.0000 0.0000 0.5000 1
Hg2 Hg 0.1616 0.5000 0.5001 1
O1 O 0.0000 0.5000 0.5000 1
O2 O 0.0710 0.0000 0.7123 1
O3 O 0.0828 0.2478 0.0009 1
O4 O 0.0991 0.5000 0.2887 1
O5 O 0.2399 0.5000 0.7114 1
O6 O 0.2500 0.2500 0.0000 1

[6]
# Ba2TlCuHgO5 PBEsol optimized geometry
# - Formation energy without anion corrections: -13.78 eV/f.u.
data_Ba2TlCuHgO5
_cell_length_a 3.8574
_cell_length_b 3.8574
_cell_length_c 23.2576
_cell_angle_alpha 90.00
_cell_angle_beta 90.00
_cell_angle_gamma 90.00
_space_group_name_H-M_alt 'I 4 m m'
_space_group_IT_number 107
_space_group_name_Hall 'I 4 -2'
loop_
_atom_site_label
_atom_site_type_symbol
_atom_site_fract_x
_atom_site_fract_y
_atom_site_fract_z
_atom_site_occupancy
Ba1 Ba 0.0000 0.0000 0.0000 1
Ba2 Ba 0.0000 0.0000 0.1673 1
Tl1 Tl 0.0000 0.0000 0.3857 1
Cu1 Cu 0.0000 0.0000 0.5770 1
Hg1 Hg 0.0000 0.0000 0.7912 1
O1 O 0.0000 0.0000 0.4806 1
O2 O 0.0000 0.0000 0.7059 1
O3 O 0.0000 0.0000 0.8781 1
O4 O 0.0000 0.5000 0.0863 1

[7]
# Ba4Tl2Cu2HgO10 PBEsol optimized geometry
# - Formation energy without anion corrections: -28.68 eV/f.u.
data_Ba4Tl2Cu2HgO10
_cell_length_a 3.8473
_cell_length_b 3.8473
_cell_length_c 42.7162
_cell_angle_alpha 90.00
_cell_angle_beta 90.00
_cell_angle_gamma 90.00
_space_group_name_H-M_alt 'I 4/m m m'
_space_group_IT_number 139
_space_group_name_Hall '-I 4 2'
loop_
_atom_site_label
_atom_site_type_symbol
_atom_site_fract_x
_atom_site_fract_y
_atom_site_fract_z
_atom_site_occupancy
Ba1 Ba 0.0000 0.0000 0.0683 1
Ba2 Ba 0.0000 0.0000 0.1579 1
Tl1 Tl 0.0000 0.0000 0.2764 1
Cu1 Cu 0.0000 0.0000 0.3866 1
Hg1 Hg 0.0000 0.0000 0.5000 1
O1 O 0.0000 0.0000 0.2282 1
O2 O 0.0000 0.0000 0.3235 1
O3 O 0.0000 0.0000 0.4534 1
O4 O 0.0000 0.5000 0.1127 1

[8]
# Ba2HoCu3O6 PBEsol optimized geometry
# - Formation energy without anion corrections: -23.15 eV/f.u.
data_Ba2HoCu3O6
_cell_length_a 3.8234
_cell_length_b 3.8234
_cell_length_c 11.8395
_cell_angle_alpha 90.00
_cell_angle_beta 90.00
_cell_angle_gamma 90.00
_space_group_name_H-M_alt 'P 4/m m m'
_space_group_IT_number 123
_space_group_name_Hall '-P 4 2'
loop_
_atom_site_label
_atom_site_type_symbol
_atom_site_fract_x
_atom_site_fract_y
_atom_site_fract_z
_atom_site_occupancy
Ba1 Ba 0.0000 0.0000 0.1967 1
Ho1 Ho 0.0000 0.0000 0.5000 1
Cu1 Cu 0.5000 0.5000 0.0000 1
Cu2 Cu 0.5000 0.5000 0.3695 1
O1 O 0.0000 0.5000 0.3809 1
O2 O 0.5000 0.5000 0.1509 1

[9]
# BaHo2CuO5 PBEsol optimized geometry
# - Formation energy without anion corrections: -24.95 eV/f.u.
data_BaHo2CuO5
_cell_length_a 12.0483
_cell_length_b 5.6063
_cell_length_c 7.0635
_cell_angle_alpha 90.00
_cell_angle_beta 90.00
_cell_angle_gamma 90.00
_space_group_name_H-M_alt 'P n m a'
_space_group_IT_number 62
_space_group_name_Hall '-P 2ac 2n'
loop_
_atom_site_label
_atom_site_type_symbol
_atom_site_fract_x
_atom_site_fract_y
_atom_site_fract_z
_atom_site_occupancy
Ba1 Ba 0.0960 0.2500 0.0693 1
Ho1 Ho 0.0745 0.7500 0.3977 1
Ho2 Ho 0.2119 0.2500 0.6148 1
Cu1 Cu 0.1603 0.7500 0.7847 1
O1 O 0.0669 0.5055 0.6641 1
O2 O 0.1011 0.7500 0.0830 1
O3 O 0.2275 0.0031 0.3567 1

[10]
# Ba4HoCu3O9 PBEsol optimized geometry
# - Formation energy without anion corrections: -35.21 eV/f.u.
data_Ba4HoCu3O9
_cell_length_a 8.0189
_cell_length_b 8.0189
_cell_length_c 8.0189
_cell_angle_alpha 90.00
_cell_angle_beta 90.00
_cell_angle_gamma 90.00
_space_group_name_H-M_alt 'P m -3 n'
_space_group_IT_number 223
_space_group_name_Hall '-P 4n 2 3'
loop_
_atom_site_label
_atom_site_type_symbol
_atom_site_fract_x
_atom_site_fract_y
_atom_site_fract_z
_atom_site_occupancy
Ba1 Ba 0.2500 0.2500 0.2500 1
Ho1 Ho 0.0000 0.0000 0.0000 1
Cu1 Cu 0.0000 0.0000 0.5000 1
O1 O 0.0000 0.0000 0.2727 1
O2 O 0.0000 0.2500 0.5000 1

[11]
# Ba2Ho2CuPtO8 PBEsol optimized geometry
# - Formation energy without anion corrections: -32.88 eV/f.u.
data_Ba2Ho2CuPtO8
_cell_length_a 13.1006
_cell_length_b 5.6416
_cell_length_c 10.2576
_cell_angle_alpha 90.00
_cell_angle_beta 90.00
_cell_angle_gamma 90.00
_space_group_name_H-M_alt 'P n m a'
_space_group_IT_number 62
_space_group_name_Hall '-P 2ac 2n'
loop_
_atom_site_label
_atom_site_type_symbol
_atom_site_fract_x
_atom_site_fract_y
_atom_site_fract_z
_atom_site_occupancy
Ba1 Ba 0.0768 0.2500 0.0916 1
Ba2 Ba 0.2071 0.7500 0.3131 1
Ho1 Ho 0.0835 0.2500 0.4863 1
Ho2 Ho 0.1419 0.7500 0.6864 1
Cu1 Cu 0.0393 0.2500 0.7665 1
Pt1 Pt 0.1936 0.7500 0.9663 1
O1 O 0.0072 0.0063 0.6358 1
O2 O 0.0872 0.7500 0.1071 1
O3 O 0.1136 0.5074 0.8598 1
O4 O 0.2038 0.2500 0.3133 1
O5 O 0.2173 0.0090 0.5563 1

[12]
# BaCu3I PBEsol optimized geometry
# - Formation energy without anion corrections: 3.21 eV/f.u.
data_BaCu3I
_cell_length_a 5.0537
_cell_length_b 5.0537
_cell_length_c 5.0537
_cell_angle_alpha 90.00
_cell_angle_beta 90.00
_cell_angle_gamma 90.00
_space_group_name_H-M_alt 'P m -3 m'
_space_group_IT_number 221
_space_group_name_Hall '-P 4 2 3'
loop_
_atom_site_label
_atom_site_type_symbol
_atom_site_fract_x
_atom_site_fract_y
_atom_site_fract_z
_atom_site_occupancy
Ba1 Ba 0.0000 0.0000 0.0000 1
Cu1 Cu 0.0000 0.5000 0.5000 1
I1 I 0.5000 0.5000 0.5000 1

[13]
# BaCuSb2I PBEsol optimized geometry
# - Formation energy without anion corrections: -1.71 eV/f.u.
data_BaCuSb2I
_cell_length_a 4.9775
_cell_length_b 4.9775
_cell_length_c 6.2828
_cell_angle_alpha 90.00
_cell_angle_beta 90.00
_cell_angle_gamma 90.00
_space_group_name_H-M_alt 'P 4/m m m'
_space_group_IT_number 123
_space_group_name_Hall '-P 4 2'
loop_
_atom_site_label
_atom_site_type_symbol
_atom_site_fract_x
_atom_site_fract_y
_atom_site_fract_z
_atom_site_occupancy
Ba1 Ba 0.0000 0.0000 0.0000 1
Cu1 Cu 0.5000 0.5000 0.5000 1
Sb1 Sb 0.0000 0.5000 0.5000 1
I1 I 0.5000 0.5000 0.0000 1

[14]
# Ba2InCu PBEsol optimized geometry
# - ΔE_f: -0.0964 eV per atom
data_Ba2InCu
_cell_length_a 3.9629
_cell_length_b 5.7983
_cell_length_c 5.8009
_cell_angle_alpha 90.00
_cell_angle_beta 90.00
_cell_angle_gamma 90.00
_space_group_name_H-M_alt 'P m m 2'
_space_group_IT_number 25
_space_group_name_Hall 'P 2 -2'
loop_
_atom_site_label
_atom_site_type_symbol
_atom_site_fract_x
_atom_site_fract_y
_atom_site_fract_z
_atom_site_occupancy
Ba1 Ba 0.0000 0.0000 0.0000 1
Ba2 Ba 0.0000 0.5000 0.4942 1
In1 In 0.5000 0.0000 0.5021 1
Cu1 Cu 0.5000 0.5000 0.9863 1

[15]
# Ba2InCu PBEsol optimized geometry
# - ΔE_f: -0.1220 eV per atom
data_Ba2InCu
_cell_length_a 3.9185
_cell_length_b 3.9185
_cell_length_c 8.4647
_cell_angle_alpha 90.00
_cell_angle_beta 90.00
_cell_angle_gamma 90.00
_space_group_name_H-M_alt 'P 4/m m m'
_space_group_IT_number 123
_space_group_name_Hall '-P 4 2'
loop_
_atom_site_label
_atom_site_type_symbol
_atom_site_fract_x
_atom_site_fract_y
_atom_site_fract_z
_atom_site_occupancy
Ba1 Ba 0.0000 0.0000 0.2267 1
In1 In 0.5000 0.5000 0.5000 1
Cu1 Cu 0.5000 0.5000 0.0000 1

[16]
# BaIn5Cu2 PBEsol optimized geometry
# - ΔE_f: -0.2343 eV per atom
data_BaIn5Cu2
_cell_length_a 11.6230
_cell_length_b 7.7593
_cell_length_c 4.4206
_cell_angle_alpha 90.00
_cell_angle_beta 112.21
_cell_angle_gamma 90.00
_space_group_name_H-M_alt 'C 1 2/m 1'
_space_group_IT_number 12
_space_group_name_Hall '-C 2y'
loop_
_atom_site_label
_atom_site_type_symbol
_atom_site_fract_x
_atom_site_fract_y
_atom_site_fract_z
_atom_site_occupancy
Ba1 Ba 0.0000 0.0000 0.0000 1
In1 In 0.0000 0.5000 0.0000 1
In2 In 0.1545 0.3055 0.6546 1
Cu1 Cu 0.2402 0.5000 0.2396 1

[17]
# BaIn3Cu PBEsol optimized geometry
# - ΔE_f: -0.3352 eV per atom
data_BaIn3Cu
_cell_length_a 4.7003
_cell_length_b 4.7003
_cell_length_c 11.5867
_cell_angle_alpha 90.00
_cell_angle_beta 90.00
_cell_angle_gamma 90.00
_space_group_name_H-M_alt 'I 4 m m'
_space_group_IT_number 107
_space_group_name_Hall 'I 4 -2'
loop_
_atom_site_label
_atom_site_type_symbol
_atom_site_fract_x
_atom_site_fract_y
_atom_site_fract_z
_atom_site_occupancy
Ba1 Ba 0.0000 0.0000 0.0000 1
In1 In 0.0000 0.0000 0.5977 1
In2 In 0.0000 0.5000 0.2610 1
Cu1 Cu 0.0000 0.0000 0.3720 1

[18]
# Ba2InCu PBEsol optimized geometry
# - ΔE_f: 0.0456 eV per atom
data_Ba2InCu
_cell_length_a 4.3503
_cell_length_b 4.3503
_cell_length_c 27.4021
_cell_angle_alpha 90.00
_cell_angle_beta 90.00
_cell_angle_gamma 120.00
_space_group_name_H-M_alt 'R -3 m'
_space_group_IT_number 166
_space_group_name_Hall '-R 3 2"'
loop_
_atom_site_label
_atom_site_type_symbol
_atom_site_fract_x
_atom_site_fract_y
_atom_site_fract_z
_atom_site_occupancy
Ba1 Ba 0.0000 0.0000 0.2398 1
In1 In 0.0000 0.0000 0.0000 1
Cu1 Cu 0.0000 0.0000 0.5000 1

[19]
# BaInCu2 PBEsol optimized geometry
# - ΔE_f: 0.0041 eV per atom
data_BaInCu2
_cell_length_a 4.1171
_cell_length_b 3.8887
_cell_length_c 11.8355
_cell_angle_alpha 90.00
_cell_angle_beta 90.00
_cell_angle_gamma 90.00
_space_group_name_H-M_alt 'A m m 2'
_space_group_IT_number 38
_space_group_name_Hall 'A 2 -2'
loop_
_atom_site_label
_atom_site_type_symbol
_atom_site_fract_x
_atom_site_fract_y
_atom_site_fract_z
_atom_site_occupancy
Ba1 Ba 0.0000 0.0000 0.0000 1
In1 In 0.5000 0.0000 0.7137 1
Cu1 Cu 0.0000 0.0000 0.2651 1
Cu2 Cu 0.5000 0.0000 0.3661 1

[20]
# BaInCu2 PBEsol optimized geometry
# - ΔE_f: 0.0797 eV per atom
data_BaInCu2
_cell_length_a 3.3206
_cell_length_b 3.3206
_cell_length_c 7.6923
_cell_angle_alpha 90.00
_cell_angle_beta 90.00
_cell_angle_gamma 90.00
_space_group_name_H-M_alt 'P 4 m m'
_space_group_IT_number 99
_space_group_name_Hall 'P 4 -2'
loop_
_atom_site_label
_atom_site_type_symbol
_atom_site_fract_x
_atom_site_fract_y
_atom_site_fract_z
_atom_site_occupancy
Ba1 Ba 0.0000 0.0000 0.0000 1
In1 In 0.5000 0.5000 0.6420 1
Cu1 Cu 0.0000 0.0000 0.4301 1
Cu2 Cu 0.5000 0.5000 0.3010 1

Asked for magnetization across the records above, the calculation gives 0.00, 0.00, 0.00, 0.01, 1.26, 0.49, 0.00, 0.01, 3.97, 0.00, 4.21, 0.00, 0.00, 0.00, 0.00, 0.00, 0.00, 0.00, 0.00, 0.00 μB per cell in order.